VASP calculation (PBE) on a relaxed structure of Ba2NaSrCl.

Properties
**Formation energy (no corrections)**: -0.61 eV per atom
**Distance to the lowest polymorph of the same formula**: 0.00 eV per formula unit
**Calculated total energy**: -11.76 eV per cell
**DOS(E_F)**: 1.33 states/eV per atom
**Calculated volume**: 245 Å³/f.u.

a b c (Å): 6.419 6.419 5.954
angles (deg): 90.00 90.00 90.00
Atoms (fractional coordinates):
Ba  0.000  0.500  0.000
Cl  0.000  0.000  0.000
Sr  0.500  0.500  0.500
Na  0.000  0.000  0.500
Ba  0.500  0.000  0.000

VASP calculation (PBE) on a relaxed structure of Ba2NaSrCl.

Properties
**Formation energy (no corrections)**: -0.59 eV per atom
**Distance to the lowest polymorph of the same formula**: 0.12 eV per formula unit
**Calculated total energy**: -11.65 eV per cell
**DOS(E_F)**: 1.45 states/eV per atom
**Calculated volume**: 244 Å³/f.u.

a b c (Å): 6.447 6.447 5.874
angles (deg): 90.00 90.00 90.00
Atoms (fractional coordinates):
Sr  0.000  0.000  0.500
Na  0.500  0.500  0.500
Ba  0.500  0.000  0.000
Ba  0.000  0.500  0.000
Cl  0.000  0.000  0.000

VASP calculation (PBE) on a relaxed structure of BaNaTbCl6.

Properties
**Formation energy (no corrections)**: -2.26 eV per atom
**Calculated total energy**: -78.66 eV per cell
**DOS(E_F)**: 0.00 states/eV per atom
**Calculated volume**: 292 Å³/f.u.

a b c (Å): 7.141 7.141 13.224
angles (deg): 90.00 90.00 120.00
Atoms (fractional coordinates):
Cl  0.982  0.349  0.135
Ba  0.000  0.000  0.500
Cl  0.367  0.349  0.365
Cl  0.349  0.982  0.635
Cl  0.018  0.367  0.635
Na  0.667  0.333  0.750
Cl  0.651  0.018  0.365
Cl  0.018  0.651  0.865
Cl  0.633  0.982  0.865
Na  0.333  0.667  0.250
Cl  0.349  0.367  0.865
Cl  0.367  0.018  0.135
Tb  0.333  0.667  0.750
Cl  0.633  0.651  0.635
Tb  0.667  0.333  0.250
Cl  0.651  0.633  0.135
Ba  0.000  0.000  0.000
Cl  0.982  0.633  0.365

VASP calculation (PBE) on a relaxed structure of BaNaTe2Cl.

Properties
**Formation energy (no corrections)**: -0.58 eV per atom
**Calculated total energy**: -14.28 eV per cell
**DOS(E_F)**: 0.54 states/eV per atom
**Calculated volume**: 206 Å³/f.u.

a b c (Å): 6.104 5.522 6.104
angles (deg): 90.00 90.00 90.00
Atoms (fractional coordinates):
Ba  0.000  0.500  0.000
Cl  0.000  0.000  0.000
Na  0.500  0.500  0.500
Te  0.000  0.000  0.500
Te  0.500  0.000  0.000

VASP calculation (PBE) on a relaxed structure of Ba2NaTeCl.

Properties
**Formation energy (no corrections)**: -0.87 eV per atom
**Calculated total energy**: -14.52 eV per cell
**DOS(E_F)**: 1.10 states/eV per atom
**Calculated volume**: 257 Å³/f.u.

a b c (Å): 6.688 5.749 6.688
angles (deg): 90.00 90.00 90.00
Atoms (fractional coordinates):
Cl  0.500  0.500  0.500
Te  0.000  0.000  0.000
Ba  0.000  0.000  0.500
Na  0.000  0.500  0.000
Ba  0.500  0.000  0.000

VASP calculation (PBE) on a relaxed structure of BaNa2ThCl8.

Properties
**Formation energy (no corrections)**: -2.10 eV per atom
**Calculated total energy**: -51.97 eV per cell
**DOS(E_F)**: 0.00 states/eV per atom
**Calculated volume**: 406 Å³/f.u.

a b c (Å): 6.665 6.666 9.135
angles (deg): 89.99 90.00 90.41
Atoms (fractional coordinates):
Cl  0.297  0.273  0.000
Cl  0.816  0.206  0.783
Cl  0.703  0.727  0.000
Na  0.500  0.500  0.268
Cl  0.816  0.206  0.217
Cl  0.329  0.301  0.500
Na  0.500  0.500  0.732
Th  0.000  0.000  0.000
Ba  0.000  0.000  0.500
Cl  0.184  0.794  0.783
Cl  0.184  0.794  0.217
Cl  0.671  0.699  0.500

VASP calculation (PBE) on a relaxed structure of BaNa2TiCl.

Properties
**Formation energy (no corrections)**: 0.96 eV per atom
**Calculated total energy**: -9.51 eV per cell
**DOS(E_F)**: 1.10 states/eV per atom
**Calculated volume**: 248 Å³/f.u.

a b c (Å): 6.797 5.369 6.797
angles (deg): 90.00 90.00 90.00
Atoms (fractional coordinates):
Ba  0.000  0.000  0.000
Cl  0.500  0.500  0.500
Na  0.000  0.000  0.500
Na  0.500  0.000  0.000
Ti  0.000  0.500  0.000

VASP calculation (PBE) on a relaxed structure of BaNa2TiCl8.

Properties
**Formation energy (no corrections)**: -1.82 eV per atom
**Calculated total energy**: -49.05 eV per cell
**DOS(E_F)**: 0.00 states/eV per atom
**Calculated volume**: 365 Å³/f.u.

a b c (Å): 6.464 6.503 8.725
angles (deg): 86.02 86.76 87.05
Atoms (fractional coordinates):
Cl  0.837  0.213  0.803
Cl  0.163  0.787  0.197
Cl  0.265  0.229  0.996
Na  0.463  0.458  0.738
Cl  0.735  0.771  0.004
Cl  0.190  0.812  0.809
Cl  0.669  0.697  0.517
Na  0.537  0.542  0.262
Cl  0.331  0.303  0.483
Cl  0.810  0.188  0.191
Ti  0.000  0.000  0.000
Ba  0.000  0.000  0.500

VASP calculation (PBE) on a relaxed structure of Ba2NaTlCl6.

Properties
**Formation energy (no corrections)**: -2.04 eV per atom
**Calculated total energy**: -39.02 eV per cell
**DOS(E_F)**: 0.00 states/eV per atom
**Calculated volume**: 359 Å³/f.u.

a b c (Å): 7.779 7.779 8.193
angles (deg): 61.65 61.65 59.98
Atoms (fractional coordinates):
Ba  0.016  0.016  0.953
Cl  0.700  0.138  0.760
Cl  0.598  0.221  0.241
Tl  0.808  0.808  0.576
Cl  0.138  0.403  0.760
Cl  0.403  0.700  0.760
Cl  0.939  0.598  0.242
Ba  0.522  0.522  0.434
Na  0.317  0.317  0.048
Cl  0.221  0.939  0.242

VASP calculation (PBE) on a relaxed structure of BaNaTmCl6.

Properties
**Formation energy (no corrections)**: -2.27 eV per atom
**Calculated total energy**: -78.37 eV per cell
**DOS(E_F)**: 0.00 states/eV per atom
**Calculated volume**: 287 Å³/f.u.

a b c (Å): 7.089 7.089 13.184
angles (deg): 90.00 90.00 120.00
Atoms (fractional coordinates):
Na  0.667  0.333  0.750
Cl  0.371  0.348  0.363
Cl  0.652  0.023  0.363
Cl  0.629  0.652  0.637
Cl  0.371  0.023  0.137
Cl  0.977  0.629  0.363
Cl  0.348  0.371  0.863
Cl  0.023  0.371  0.637
Tm  0.333  0.667  0.750
Tm  0.667  0.333  0.250
Ba  0.000  0.000  0.500
Na  0.333  0.667  0.250
Cl  0.977  0.348  0.137
Cl  0.348  0.977  0.637
Cl  0.023  0.652  0.863
Cl  0.629  0.977  0.863
Ba  0.000  0.000  0.000
Cl  0.652  0.629  0.137

VASP calculation (PBE) on a relaxed structure of BaNa2UCl8.

Properties
**Formation energy (no corrections)**: -1.92 eV per atom
**Calculated total energy**: -53.63 eV per cell
**DOS(E_F)**: 0.44 states/eV per atom
**Calculated volume**: 397 Å³/f.u.

a b c (Å): 6.610 6.633 9.064
angles (deg): 89.91 89.80 89.72
Atoms (fractional coordinates):
Cl  0.177  0.788  0.787
Cl  0.662  0.707  0.500
Ba  0.000  0.000  0.500
Cl  0.295  0.259  0.000
Na  0.499  0.498  0.731
Cl  0.338  0.293  0.500
Cl  0.705  0.741  0.000
Cl  0.823  0.212  0.213
Cl  0.823  0.211  0.787
Na  0.501  0.502  0.269
Cl  0.177  0.789  0.213
U  0.000  0.000  0.000

VASP calculation (PBE) on a relaxed structure of BaNaUCl6.

Properties
**Formation energy (no corrections)**: -1.98 eV per atom
**Calculated total energy**: -86.82 eV per cell
**Calculated volume**: 303 Å³/f.u.

a b c (Å): 7.221 7.221 13.400
angles (deg): 90.00 90.00 120.00
Atoms (fractional coordinates):
Cl  0.009  0.358  0.634
Cl  0.009  0.651  0.866
Na  0.333  0.667  0.250
Cl  0.651  0.009  0.366
Cl  0.349  0.358  0.866
Cl  0.358  0.009  0.134
Ba  0.000  0.000  0.500
Cl  0.349  0.991  0.634
Cl  0.651  0.642  0.134
U  0.333  0.667  0.750
Cl  0.642  0.991  0.866
U  0.667  0.333  0.250
Ba  0.000  0.000  0.000
Cl  0.358  0.349  0.366
Cl  0.642  0.651  0.634
Cl  0.991  0.642  0.366
Cl  0.991  0.349  0.134
Na  0.667  0.333  0.750

VASP calculation (PBE) on a relaxed structure of Ba2NaVCl.

Properties
**Formation energy (no corrections)**: -0.14 eV per atom
**Distance to the lowest polymorph of the same formula**: 0.00 eV per formula unit
**Calculated total energy**: -16.84 eV per cell
**DOS(E_F)**: 1.11 states/eV per atom
**Calculated volume**: 193 Å³/f.u.

a b c (Å): 6.392 6.392 4.718
angles (deg): 90.00 90.00 90.00
Atoms (fractional coordinates):
Cl  0.000  0.000  0.000
V  0.000  0.000  0.500
Ba  0.000  0.500  0.000
Na  0.500  0.500  0.500
Ba  0.500  0.000  0.000

VASP calculation (PBE) on a relaxed structure of Ba2NaVCl.

Properties
**Formation energy (no corrections)**: 0.18 eV per atom
**Distance to the lowest polymorph of the same formula**: 1.63 eV per formula unit
**Calculated total energy**: -15.21 eV per cell
**DOS(E_F)**: 0.89 states/eV per atom
**Calculated volume**: 233 Å³/f.u.

a b c (Å): 6.457 5.592 6.457
angles (deg): 90.00 90.00 90.00
Atoms (fractional coordinates):
Na  0.000  0.500  0.000
Ba  0.000  0.000  0.500
Cl  0.500  0.500  0.500
Ba  0.500  0.000  0.000
V  0.000  0.000  0.000

VASP calculation (PBE) on a relaxed structure of BaNaYCl6.

Properties
**Formation energy (no corrections)**: -2.26 eV per atom
**Calculated total energy**: -82.30 eV per cell
**DOS(E_F)**: 0.00 states/eV per atom
**Calculated volume**: 291 Å³/f.u.

a b c (Å): 7.129 7.129 13.237
angles (deg): 90.00 90.00 120.00
Atoms (fractional coordinates):
Y  0.333  0.667  0.750
Cl  0.367  0.019  0.136
Cl  0.349  0.367  0.864
Cl  0.651  0.633  0.136
Cl  0.019  0.367  0.636
Cl  0.651  0.019  0.364
Cl  0.981  0.633  0.364
Na  0.667  0.333  0.750
Cl  0.367  0.349  0.364
Cl  0.981  0.349  0.136
Cl  0.019  0.651  0.864
Ba  0.000  0.000  0.000
Y  0.667  0.333  0.250
Cl  0.633  0.651  0.636
Cl  0.349  0.981  0.636
Ba  0.000  0.000  0.500
Na  0.333  0.667  0.250
Cl  0.633  0.981  0.864

VASP calculation (PBE) on a relaxed structure of BaNaZnCl5.

Properties
**Formation energy (no corrections)**: -1.81 eV per atom
**Calculated total energy**: -56.41 eV per cell
**DOS(E_F)**: 0.00 states/eV per atom
**Calculated volume**: 235 Å³/f.u.

a b c (Å): 7.558 7.558 9.191
angles (deg): 102.28 102.28 106.52
Atoms (fractional coordinates):
Na  0.000  0.000  0.500
Cl  0.092  0.652  0.874
Cl  0.401  0.279  0.056
Cl  0.908  0.348  0.126
Cl  0.903  0.097  0.750
Cl  0.599  0.721  0.944
Na  0.000  0.000  0.000
Cl  0.279  0.401  0.556
Zn  0.673  0.327  0.250
Ba  0.660  0.340  0.750
Ba  0.340  0.660  0.250
Cl  0.652  0.092  0.374
Zn  0.327  0.673  0.750
Cl  0.348  0.908  0.626
Cl  0.097  0.903  0.250
Cl  0.721  0.599  0.444

VASP calculation (PBE) on a relaxed structure of BaNbCl3.

Properties
**Formation energy (no corrections)**: -0.48 eV per atom
**Distance to the lowest polymorph of the same formula**: 2.89 eV per formula unit
**Calculated total energy**: -19.91 eV per cell
**DOS(E_F)**: 6.13 states/eV per atom
**Calculated volume**: 211 Å³/f.u.

a b c (Å): 5.956 5.956 5.956
angles (deg): 90.00 90.00 90.00
Atoms (fractional coordinates):
Cl  0.000  0.500  0.000
Cl  0.500  0.000  0.000
Nb  0.500  0.500  0.500
Ba  0.000  0.000  0.000
Cl  0.000  0.000  0.500

VASP calculation (PBE) on a relaxed structure of BaNb2Cl.

Properties
**Formation energy (no corrections)**: 0.62 eV per atom
**Distance to the lowest polymorph of the same formula**: 0.00 eV per formula unit
**Calculated total energy**: -42.86 eV per cell
**DOS(E_F)**: 1.35 states/eV per atom
**Calculated volume**: 116 Å³/f.u.

a b c (Å): 4.907 4.907 10.248
angles (deg): 76.15 76.15 90.00
Atoms (fractional coordinates):
Ba  0.750  0.250  0.500
Nb  0.362  0.125  0.250
Nb  0.875  0.612  0.750
Cl  0.500  0.500  0.000
Ba  0.000  0.000  0.000
Nb  0.388  0.625  0.250
Cl  0.250  0.750  0.500
Nb  0.375  0.638  0.750

VASP calculation (PBE) on a relaxed structure of BaNb2Cl.

Properties
**Formation energy (no corrections)**: 1.31 eV per atom
**Distance to the lowest polymorph of the same formula**: 2.77 eV per formula unit
**Calculated total energy**: -18.66 eV per cell
**DOS(E_F)**: 1.34 states/eV per atom
**Calculated volume**: 86 Å³/f.u.

a b c (Å): 4.949 4.949 4.949
angles (deg): 60.00 60.00 60.00
Atoms (fractional coordinates):
Cl  0.000  0.000  0.000
Nb  0.750  0.750  0.750
Nb  0.250  0.250  0.250
Ba  0.500  0.500  0.500

VASP calculation (PBE) on a relaxed structure of BaNbCl3.

Properties
**Formation energy (no corrections)**: -1.05 eV per atom
**Distance to the lowest polymorph of the same formula**: 0.00 eV per formula unit
**Calculated total energy**: -22.80 eV per cell
**DOS(E_F)**: 0.61 states/eV per atom
**Calculated volume**: 131 Å³/f.u.

a b c (Å): 5.078 5.078 5.078
angles (deg): 90.00 90.00 90.00
Atoms (fractional coordinates):
Cl  0.500  0.000  0.000
Cl  0.000  0.000  0.500
Cl  0.000  0.500  0.000
Ba  0.500  0.500  0.500
Nb  0.000  0.000  0.000

VASP calculation (PBE) on a relaxed structure of BaNb3Cl.

Properties
**Formation energy (no corrections)**: 0.89 eV per atom
**Distance to the lowest polymorph of the same formula**: 0.00 eV per formula unit
**Calculated total energy**: -29.51 eV per cell
**DOS(E_F)**: 1.60 states/eV per atom
**Calculated volume**: 113 Å³/f.u.

a b c (Å): 4.831 4.831 4.831
angles (deg): 90.00 90.00 90.00
Atoms (fractional coordinates):
Nb  0.000  0.000  0.500
Cl  0.000  0.000  0.000
Ba  0.500  0.500  0.500
Nb  0.000  0.500  0.000
Nb  0.500  0.000  0.000

VASP calculation (PBE) on a relaxed structure of Ba3NbCl.

Properties
**Formation energy (no corrections)**: 0.07 eV per atom
**Distance to the lowest polymorph of the same formula**: 0.00 eV per formula unit
**Calculated total energy**: -17.34 eV per cell
**DOS(E_F)**: 1.34 states/eV per atom
**Calculated volume**: 221 Å³/f.u.

a b c (Å): 6.045 6.045 6.045
angles (deg): 90.00 90.00 90.00
Atoms (fractional coordinates):
Nb  0.500  0.500  0.500
Ba  0.000  0.500  0.000
Ba  0.000  0.000  0.500
Cl  0.000  0.000  0.000
Ba  0.500  0.000  0.000

VASP calculation (PBE) on a relaxed structure of BaNb3Cl.

Properties
**Formation energy (no corrections)**: 2.66 eV per atom
**Distance to the lowest polymorph of the same formula**: 8.82 eV per formula unit
**Calculated total energy**: -20.69 eV per cell
**DOS(E_F)**: 1.08 states/eV per atom
**Calculated volume**: 138 Å³/f.u.

a b c (Å): 5.173 5.173 5.173
angles (deg): 90.00 90.00 90.00
Atoms (fractional coordinates):
Cl  0.500  0.500  0.500
Ba  0.000  0.000  0.000
Nb  0.500  0.000  0.000
Nb  0.000  0.500  0.000
Nb  0.000  0.000  0.500

VASP calculation (PBE) on a relaxed structure of BaNbPCl2.

Properties
**Formation energy (no corrections)**: 0.37 eV per atom
**Distance to the lowest polymorph of the same formula**: 7.14 eV per formula unit
**Calculated total energy**: -19.25 eV per cell
**DOS(E_F)**: 1.19 states/eV per atom
**Calculated volume**: 209 Å³/f.u.

a b c (Å): 5.716 5.716 6.400
angles (deg): 90.00 90.00 90.00
Atoms (fractional coordinates):
P  0.000  0.000  0.500
Cl  0.500  0.000  0.000
Cl  0.000  0.500  0.000
Nb  0.500  0.500  0.500
Ba  0.000  0.000  0.000